Material: Ca2ZrSb
Method: DFT, PBE
State: relaxed

Properties
- Space-group type: R3m
- Crystal system: trigonal
- Size of the total moment: 1.81 μB/cell
- Uncorrected formation energy: -0.17 eV per atom

a b c (Å): 4.002 4.002 29.375
angles (deg): 90.00 90.00 120.00
Element x y z (fractional)
1 Ca 0.000 0.000 0.000
2 Ca 0.000 0.000 0.218
3 Ca 0.333 0.667 0.667
4 Ca 0.333 0.667 0.885
5 Ca 0.667 0.333 0.333
6 Ca 0.667 0.333 0.551
7 Zr 0.000 0.000 0.461
8 Zr 0.333 0.667 0.127
9 Zr 0.667 0.333 0.794
10 Sb 0.000 0.000 0.737
11 Sb 0.333 0.667 0.404
12 Sb 0.667 0.333 0.070